Compound: Mg2NbZnSb
Source: Alexandria via LeMat-Bulk
Functional: PBE-GGA
Structure: relaxed

Computed properties:
* VASP energy: -14.3 eV per cell
* crystal system: tetragonal
* raw formation energy: 20.220 kcal/mol of atoms

Unit cell a=5.1820 b=5.1820 c=5.2491 alpha=90.00 beta=90.00 gamma=90.00
Closest atoms and distances in Å follow each position.
Space group P4/mmm (No. 123)
Symmetry-distinct sites (fractional):
Mg (0.0000, 0.5000, 0.0000) (multiplicity 2)  2 Sb 2.59
Nb (0.0000, 0.0000, 0.5000) (multiplicity 1)  2 Sb 2.62
Zn (0.5000, 0.5000, 0.5000) (multiplicity 1)  4 Nb 3.66, 8 Mg 3.69
Sb (0.0000, 0.0000, 0.0000) (multiplicity 1)  4 Mg 2.59, 2 Nb 2.62